No. 1
The following is a GGA-PBE calculation of a relaxed structure of LiSi3Ru, from Alexandria via LeMat-Bulk.

Values from the calculation:
Energy relative to the elements, uncorrected, meV/atom: 390.0
Energy relative to the lowest polymorph listed for this composition, meV/atom: 0.0
E_tot, eV/atom: -5.102
Spin magnetization, μB per cell: 1.8

Unit cell a=4.661 b=4.661 c=4.661 alpha=90.00 beta=90.00 gamma=90.00
Space group Pm-3m (No. 221)
One atom of each set of equivalent atoms:
Li1 0.000 0.000 0.000 x1
Si1 0.000 0.500 0.500 x3
Ru1 0.500 0.500 0.500 x1

=====

No. 2
The following is a GGA-PBE calculation of a relaxed structure of MgTlP2, from Alexandria via LeMat-Bulk.

Values from the calculation:
Calculated formation energy, eV/f.u.: -0.4
Energy relative to the lowest polymorph listed for this composition, meV/atom: 0.0
E_tot, eV/atom: -3.803
Spin magnetization, μB per cell: 0.0

Unit cell a=3.555 b=3.618 c=6.776 alpha=90.00 beta=90.00 gamma=90.00
Space group Pmmm (No. 47)
One atom of each set of equivalent atoms:
Mg1 0.000 0.000 0.000 x1
Tl1 0.000 0.000 0.500 x1
P1 0.500 0.500 0.161 x2

=====

No. 3
The following is a GGA-PBE calculation of a relaxed structure of Pr3NdSm4, from Alexandria via LeMat-Bulk.

Values from the calculation:
Calculated formation energy, eV/f.u.: 0.3
Energy relative to the lowest polymorph listed for this composition, meV/atom: 18.2
E_tot, eV/atom: -4.715
Spin magnetization, μB per cell: 0.0

Unit cell a=11.886 b=7.405 c=6.396 alpha=90.00 beta=90.00 gamma=90.00
Space group Pmn2_1 (No. 31)
One atom of each set of equivalent atoms:
Pr1 0.000 0.127 0.000 x2
Pr2 0.250 0.126 0.336 x4
Nd1 0.000 0.872 0.500 x2
Sm1 0.000 0.377 0.501 x2
Sm2 0.000 0.623 0.002 x2
Sm3 0.250 0.377 0.834 x4

=====

No. 4
The following is a GGA-PBE calculation of a relaxed structure of Be2Cl, from Alexandria via LeMat-Bulk.

Values from the calculation:
Energy relative to the elements, uncorrected, meV/atom: -207.9
Energy relative to the lowest polymorph listed for this composition, meV/atom: 124.4
E_tot, eV/atom: -3.308
Spin magnetization, μB per cell: 0.0

Unit cell a=3.053 b=3.107 c=10.112 alpha=90.00 beta=93.11 gamma=90.00
Space group P2_1/m (No. 11)
One atom of each set of equivalent atoms:
Be1 0.196 0.250 0.183 x2
Be2 0.235 0.750 0.012 x2
Cl1 0.287 0.750 0.689 x2

=====

No. 5
The following is a GGA-PBE calculation of a relaxed structure of TmU2, from Alexandria via LeMat-Bulk.

Values from the calculation:
Calculated formation energy, eV/f.u.: 0.9
E_tot, eV/atom: -8.703
Spin magnetization, μB per cell: 0.0

Unit cell a=8.188 b=8.188 c=8.188 alpha=90.00 beta=90.00 gamma=90.00
Space group Fd-3m (No. 227, origin choice 2)
One atom of each set of equivalent atoms:
Tm1 0.125 0.125 0.125 x8
U1 0.000 0.000 0.500 x16

=====

No. 6
The following is a GGA-PBE calculation of a relaxed structure of AsWCBr2, from Alexandria via LeMat-Bulk.

Values from the calculation:
Energy relative to the elements, uncorrected, meV/atom: 1733.7
Energy relative to the lowest polymorph listed for this composition, meV/atom: 0.0
E_tot, eV/atom: -4.301
Spin magnetization, μB per cell: 2.3

Unit cell a=5.082 b=5.082 c=4.900 alpha=90.00 beta=90.00 gamma=90.00
Space group P4/mmm (No. 123)
One atom of each set of equivalent atoms:
As1 0.000 0.000 0.000 x1
W1 0.000 0.000 0.500 x1
C1 0.500 0.500 0.000 x1
Br1 0.000 0.500 0.500 x2

=====

No. 7
The following is a GGA-PBE calculation of a relaxed structure of AcPPdN, from Alexandria via LeMat-Bulk.

Values from the calculation:
Energy relative to the elements, uncorrected, meV/atom: -824.8
E_tot, eV/atom: -6.584
Spin magnetization, μB per cell: 0.0

Unit cell a=4.111 b=3.847 c=5.130 alpha=90.00 beta=109.96 gamma=90.00
Space group Pm (No. 6)
One atom of each set of equivalent atoms:
Ac1 0.000 0.000 0.000 x1
P1 0.335 0.500 0.642 x1
Pd1 0.749 0.500 0.424 x1
N1 0.446 0.500 0.992 x1

=====

No. 8
The following is a GGA-PBE calculation of a relaxed structure of Np2Tl5Cl12, from Alexandria via LeMat-Bulk.

Values from the calculation:
Energy relative to the elements, uncorrected, meV/atom: -1316.3
E_tot, eV/atom: -4.467
Spin magnetization, μB per cell: 14.0

Unit cell a=17.584 b=8.264 c=10.463 alpha=90.00 beta=109.37 gamma=90.00
Space group C2/m (No. 12)
One atom of each set of equivalent atoms:
Np1 0.000 0.250 0.000 x4
Tl1 0.000 0.000 0.500 x2
Tl2 0.179 0.500 0.767 x4
Tl3 0.218 0.500 0.379 x4
Cl1 0.008 0.500 0.176 x4
Cl2 0.009 0.000 0.175 x4
Cl3 0.145 0.255 0.551 x8
Cl4 0.154 0.255 0.067 x8

=====

- What is the formula in the third record?
  Pr3NdSm4

=====

- Among the records above, which one has the highest E_tot?
  Be2Cl

=====

- Among the records above, which one has the highest spin magnetization?
  Np2Tl5Cl12

=====

- Which formula does entry 4 have?
  Be2Cl